Entry 1:
A plane-wave DFT calculation with PBE was carried out for a relaxed structure of Nd12ErSc6.

Properties
The calculation puts the density of states at the Fermi level at 34.87 states/eV/cell. The calculated formation energy comes out at 0.231 eV per atom. Its crystal system is cubic.

a b c (Å): 9.2458 9.2458 9.2458
angles (deg): 109.47 109.47 109.47
With the nearest neighbours (Å) after each atom.
Positions (direct):
Sc: 0.6379 0.5000 0.1379  1 Sc 2.94, 2 Nd 3.03
Nd: 0.8014 0.2685 0.0699  1 Sc 3.03
Nd: 0.1986 0.7315 0.9301  1 Sc 3.03
Sc: 0.1379 0.6379 0.5000  1 Sc 2.94, 2 Nd 3.03
Nd: 0.2685 0.4672 0.1986  1 Sc 3.03
Nd: 0.1986 0.2685 0.4672  1 Sc 3.03
Nd: 0.0699 0.8014 0.2685  1 Sc 3.03
Nd: 0.4672 0.1986 0.2685  1 Sc 3.03
Sc: 0.8621 0.3621 0.5000  1 Sc 2.94, 2 Nd 3.03
Nd: 0.7315 0.9301 0.1986  1 Sc 3.03
Sc: 0.5000 0.1379 0.6379  1 Sc 2.94, 2 Nd 3.03
Er: 0.0000 0.0000 0.0000  12 Nd 3.57
Nd: 0.8014 0.7315 0.5328  1 Sc 3.03
Nd: 0.9301 0.1986 0.7315  1 Sc 3.03
Nd: 0.7315 0.5328 0.8014  1 Sc 3.03
Nd: 0.5328 0.8014 0.7315  1 Sc 3.03
Sc: 0.5000 0.8621 0.3621  1 Sc 2.94, 2 Nd 3.03
Sc: 0.3621 0.5000 0.8621  1 Sc 2.94, 2 Nd 3.03
Nd: 0.2685 0.0699 0.8014  1 Sc 3.03

***

Entry 2:
A plane-wave DFT calculation with PBE was carried out for a relaxed structure of KSr3Rh.

Properties
The calculation puts the density of states at the Fermi level at 2.91 states/eV/cell. The calculated formation energy comes out at 0.194 eV per atom. Its crystal system is orthorhombic. The energy above the lowest structure with this stoichiometry comes out at 330 meV per atom.

a b c (Å): 4.2200 11.7979 11.7979
angles (deg): 139.66 90.00 90.00
With the nearest neighbours (Å) after each atom.
Positions (direct):
Sr: 0.5000 0.1850 0.3375  2 Rh 2.91
Sr: 0.0000 0.2801 0.7199  1 Rh 2.70
K: 0.5000 0.0985 0.9015  2 K 4.22, 4 Sr 4.42-4.54
Sr: 0.5000 0.6625 0.8150  2 Rh 2.91
Rh: 0.0000 0.4018 0.5982  5 Sr 2.70-2.91

***

Entry 3:
A plane-wave DFT calculation with PBE was carried out for a relaxed structure of SrTcBr2.

Properties
The calculation puts the density of states at the Fermi level at 1.64 states/eV/cell. The calculation puts the raw formation energy at -0.1916 eV/atom. Its crystal system is cubic. The energy above the lowest structure with this stoichiometry comes out at 159 meV per atom.

a b c (Å): 5.1629 5.1629 5.1629
angles (deg): 60.00 60.00 60.00
With the nearest neighbours (Å) after each atom.
Positions (direct):
Tc: 0.5000 0.5000 0.5000  8 Br 3.16
Br: 0.7500 0.7500 0.7500  4 Tc 3.16, 4 Sr 3.16
Br: 0.2500 0.2500 0.2500  4 Tc 3.16, 4 Sr 3.16
Sr: 0.0000 0.0000 0.0000  8 Br 3.16

***

- The lowest density of states at the Fermi level belongs to which entry?
  SrTcBr2